Entry 1:
# SrB2I

Crystalline SrB2I at its relaxed geometry (PBE-GGA, Alexandria via LeMat-Bulk).

a b c (Å): 6.914 6.914 7.365
angles (deg): 90.00 90.00 90.00
Space group I-42d (No. 122)
Asymmetric unit:
Sr  0.000  0.000  0.000 (multiplicity 4)
B  0.191  0.750  0.625 (multiplicity 8)
I  0.000  0.000  0.500 (multiplicity 4)

Results
Magnetization: 0.00 μB per cell


Entry 2:
# SrBI2

Crystalline SrBI2 at its relaxed geometry (PBE-GGA, Alexandria via LeMat-Bulk).

a b c (Å): 7.990 7.990 7.990
angles (deg): 90.00 90.00 90.00
Space group Fm-3m (No. 225)
Asymmetric unit:
Sr  0.000  0.000  0.000 (multiplicity 4)
B  0.000  0.000  0.500 (multiplicity 4)
I  0.250  0.250  0.250 (multiplicity 8)

Results
Magnetization: 3.95 μB per cell


Entry 3:
# SrBI2

Crystalline SrBI2 at its relaxed geometry (PBE-GGA, Alexandria via LeMat-Bulk).

a b c (Å): 5.851 5.851 18.740
angles (deg): 90.00 90.00 90.00
Space group I-42d (No. 122)
Asymmetric unit:
Sr  0.000  0.000  0.000 (multiplicity 4)
B  0.000  0.000  0.500 (multiplicity 4)
I  0.216  0.250  0.625 (multiplicity 8)

Results
Magnetization: 4.00 μB per cell


Energy above the most stable polymorph in this dataset values (in meV/atom) by entry order: 0.0; 0.0; 80.5.
D(E_F) values (in states/eV/atom) by entry order: 0.321; 0.955; 0.041.
E_form (uncorrected) values (in eV per formula unit) by entry order: 5.15; 0.70; 1.02.